Here is a geometry-optimized Er2MnF8 structure from Alexandria. Energies are from GGA+U.

Properties
As for the space-group type: C2/m, No. 12.

Unit cell a=3.5734 b=5.3552 c=7.5680 alpha=108.59 beta=103.66 gamma=90.00
With the nearest neighbours (Å) after each atom.
Sites, in units of the cell vectors:
Mn 0.5000 0.0000 0.0000  6 F 2.22-2.30
F 0.7802 0.6711 0.5604  3 Er 2.21-2.37, 1 F 2.47
F 0.5952 0.4373 0.1903  1 Mn 2.30, 2 Er 2.31
F 0.3193 0.0372 0.6386  3 Er 2.31-2.32, 3 F 2.47-2.57
F 0.6807 0.9628 0.3614  3 Er 2.31-2.32, 3 F 2.47-2.57
Er 0.1761 0.6861 0.3522  9 F 2.21-2.37
Er 0.8239 0.3139 0.6478  9 F 2.21-2.37
F 0.4048 0.5627 0.8097  1 Mn 2.30, 2 Er 2.31
F 0.2198 0.3289 0.4396  3 Er 2.21-2.37, 1 F 2.47
F 0.0451 0.8256 0.0902  2 Mn 2.22, 1 Er 2.28
F 0.9549 0.1744 0.9098  2 Mn 2.22, 1 Er 2.28


Here is a geometry-optimized Na2ErMnF6 structure from Alexandria. Energies are from GGA+U.

Properties
As for the space-group type: R3, No. 146.

Unit cell a=5.9912 b=5.9965 c=5.9645 alpha=90.01 beta=120.13 gamma=120.02
With the nearest neighbours (Å) after each atom.
Sites, in units of the cell vectors:
Na 0.5472 0.7731 0.3063  6 F 2.44-2.46
Mn 0.0307 0.5148 0.5315  6 F 2.37-2.38
Er 0.9978 0.9984 0.9823  6 F 2.18-2.20
F 0.4931 0.1474 0.2007  1 Er 2.18, 1 Mn 2.37
F 0.0673 0.3447 0.2005  1 Er 2.18, 1 Mn 2.38
F 0.8702 0.7216 0.2007  1 Er 2.18, 1 Mn 2.38
F 0.7831 0.6199 0.6793  1 Er 2.19, 2 Na 2.30-2.44, 1 Mn 2.37
F 0.5307 0.9101 0.6793  1 Er 2.20, 2 Na 2.30-2.44, 1 Mn 2.37
F 0.0736 0.1622 0.6794  1 Er 2.19, 2 Na 2.30-2.44, 1 Mn 2.37
Na 0.5718 0.2854 0.8427  6 F 2.30-2.47


Here is a geometry-optimized NaErMnF6 structure from Alexandria. Energies are from GGA+U.

Properties
As for the space-group type: P4_2nm, No. 102.

Unit cell a=5.1218 b=5.1218 c=10.3147 alpha=90.00 beta=90.00 gamma=90.00
With the nearest neighbours (Å) after each atom.
Sites, in units of the cell vectors:
F 0.7949 0.2051 0.1790  1 Mn 2.14, 1 Er 2.17, 1 Na 2.38
F 0.3158 0.3158 0.9999  1 Er 2.18, 1 Mn 2.18, 1 Na 2.29
F 0.2990 0.2990 0.3217  1 Mn 2.16, 1 Er 2.17, 1 Na 2.34
Na 0.5000 0.5000 0.4988  6 F 2.29-2.38
Na 0.0000 0.0000 0.9989  6 F 2.29-2.38
F 0.2949 0.2949 0.6790  1 Mn 2.14, 1 Er 2.17, 1 Na 2.38
F 0.8158 0.1842 0.4999  1 Er 2.18, 1 Mn 2.18, 1 Na 2.29
Mn 0.5000 0.5000 0.1674  6 F 2.14-2.18
F 0.2010 0.7990 0.8217  1 Mn 2.16, 1 Er 2.17, 1 Na 2.34
F 0.1842 0.8158 0.4999  1 Er 2.18, 1 Mn 2.18, 1 Na 2.29
F 0.2051 0.7949 0.1790  1 Mn 2.14, 1 Er 2.17, 1 Na 2.38
F 0.7010 0.7010 0.3217  1 Mn 2.16, 1 Er 2.17, 1 Na 2.34
F 0.6842 0.6842 0.9999  1 Er 2.18, 1 Mn 2.18, 1 Na 2.29
Mn 0.0000 0.0000 0.6674  6 F 2.14-2.18
F 0.7990 0.2010 0.8217  1 Mn 2.16, 1 Er 2.17, 1 Na 2.34
Er 0.5000 0.5000 0.8326  6 F 2.17-2.18
Er 0.0000 0.0000 0.3327  6 F 2.17-2.18
F 0.7051 0.7051 0.6790  1 Mn 2.14, 1 Er 2.17, 1 Na 2.38


Here is a geometry-optimized ErMnPbF6 structure from Alexandria. Energies are from GGA+U.

Properties
As for the space-group type: P-31c, No. 163.

Unit cell a=5.7807 b=5.7807 c=11.9025 alpha=90.00 beta=90.00 gamma=120.00
With the nearest neighbours (Å) after each atom.
Sites, in units of the cell vectors:
F 0.6368 0.6387 0.1550  1 Mn 2.16, 1 Er 2.17
F 0.0019 0.6387 0.3450  1 Mn 2.16, 1 Er 2.17
Mn 0.3333 0.6667 0.2500  6 F 2.16
Er 0.6667 0.3333 0.2500  6 F 2.17
Er 0.3333 0.6667 0.7500  6 F 2.17
F 0.3613 0.9981 0.1550  1 Mn 2.16, 1 Er 2.17
F 0.3632 0.0019 0.6550  1 Mn 2.16, 1 Er 2.17
F 0.6387 0.0019 0.8450  1 Mn 2.16, 1 Er 2.17
F 0.3632 0.3613 0.8450  1 Mn 2.16, 1 Er 2.17
F 0.3613 0.3632 0.3450  1 Mn 2.16, 1 Er 2.17
F 0.9981 0.3613 0.6550  1 Mn 2.16, 1 Er 2.17
F 0.9981 0.6368 0.8450  1 Mn 2.16, 1 Er 2.17
F 0.0019 0.3632 0.1550  1 Mn 2.16, 1 Er 2.17
Pb 0.0000 0.0000 0.5000  6 F 2.79
F 0.6387 0.6368 0.6550  1 Mn 2.16, 1 Er 2.17
F 0.6368 0.9981 0.3450  1 Mn 2.16, 1 Er 2.17
Mn 0.6667 0.3333 0.7500  6 F 2.16
Pb 0.0000 0.0000 0.0000  6 F 2.79


It is found that the DFT total energy values, taken in the order of the records, are -6.57 -5.53 -6.09 -5.88 eV/atom.